[1]
Here is a crystal of MnB3Sb relaxed with PBEsol from Alexandria via LeMat-Bulk. Energies are from meta-GGA SCAN.

Summary:
Total DFT energy (no corrections) ... -71.89 eV for the cell shown
ΔE_f (raw) ... 5.92 eV/f.u.

```
data_MnB3Sb
_chemical_formula_sum 'Mn1 B3 Sb1'
_cell_length_a 3.913
_cell_length_b 3.913
_cell_length_c 3.913
_cell_angle_alpha 90.00
_cell_angle_beta 90.00
_cell_angle_gamma 90.00
_space_group_name_H-M_alt 'P m -3 m'
_space_group_IT_number 221
_space_group_name_Hall '-P 4 2 3'
loop_
_atom_site_label
_atom_site_type_symbol
_atom_site_fract_x
_atom_site_fract_y
_atom_site_fract_z
_atom_site_occupancy
Mn1 Mn 0.000 0.000 0.000 1
B1 B 0.000 0.000 0.500 1
Sb1 Sb 0.500 0.500 0.500 1
```


[2]
Here is a crystal of MnSiB3 relaxed with PBEsol from Alexandria via LeMat-Bulk. Energies are from meta-GGA SCAN.

Summary:
Total DFT energy (no corrections) ... -44.93 eV for the cell shown
ΔE_f (raw) ... 5.63 eV/f.u.

```
data_MnSiB3
_chemical_formula_sum 'Mn1 Si1 B3'
_cell_length_a 3.799
_cell_length_b 3.799
_cell_length_c 3.799
_cell_angle_alpha 90.00
_cell_angle_beta 90.00
_cell_angle_gamma 90.00
_space_group_name_H-M_alt 'P m -3 m'
_space_group_IT_number 221
_space_group_name_Hall '-P 4 2 3'
loop_
_atom_site_label
_atom_site_type_symbol
_atom_site_fract_x
_atom_site_fract_y
_atom_site_fract_z
_atom_site_occupancy
Mn1 Mn 0.000 0.000 0.000 1
Si1 Si 0.500 0.500 0.500 1
B1 B 0.000 0.000 0.500 1
```


[3]
Here is a crystal of TiMnSnB2 relaxed with PBEsol from Alexandria via LeMat-Bulk. Energies are from meta-GGA SCAN.

Summary:
Energy relative to the elements ... 1.162 eV per atom
Total DFT energy (no corrections) ... -79.25 eV for the cell shown

```
data_TiMnSnB2
_chemical_formula_sum 'Ti1 Mn1 Sn1 B2'
_cell_length_a 4.179
_cell_length_b 4.179
_cell_length_c 5.054
_cell_angle_alpha 90.00
_cell_angle_beta 90.00
_cell_angle_gamma 90.00
_space_group_name_H-M_alt 'P 4/m m m'
_space_group_IT_number 123
_space_group_name_Hall '-P 4 2'
loop_
_atom_site_label
_atom_site_type_symbol
_atom_site_fract_x
_atom_site_fract_y
_atom_site_fract_z
_atom_site_occupancy
Ti1 Ti 0.000 0.000 0.000 1
Mn1 Mn 0.500 0.500 0.500 1
Sn1 Sn 0.000 0.000 0.500 1
B1 B 0.000 0.500 0.000 1
```


[4]
Here is a crystal of TaMnB2 relaxed with PBEsol from Alexandria via LeMat-Bulk. Energies are from meta-GGA SCAN.

Summary:
Energy relative to the elements ... 0.268 eV per atom
Total DFT energy (no corrections) ... -394.51 eV for the cell shown

```
data_TaMnB2
_chemical_formula_sum 'Ta4 Mn4 B8'
_cell_length_a 3.532
_cell_length_b 3.532
_cell_length_c 14.103
_cell_angle_alpha 90.00
_cell_angle_beta 90.00
_cell_angle_gamma 90.00
_space_group_name_H-M_alt 'I 41/a m d'
_space_group_IT_number 141
loop_
_space_group_symop_operation_xyz
'x,y,z'
'-x,-y,-z'
'-y+1/4,x+3/4,z+1/4'
'y+1/4,-x+3/4,-z+1/4'
'-x+1/2,-y,z+1/2'
'x+1/2,y,-z+1/2'
'y+1/4,-x+1/4,z+3/4'
'-y+1/4,x+1/4,-z+3/4'
'x,-y,-z'
'-x,y,z'
'-y+1/4,-x+1/4,-z+3/4'
'y+1/4,x+1/4,z+3/4'
'-x+1/2,y,-z+1/2'
'x+1/2,-y,z+1/2'
'y+1/4,x+3/4,-z+1/4'
'-y+1/4,-x+3/4,z+1/4'
'x+1/2,y+1/2,z+1/2'
'-x+1/2,-y+1/2,-z+1/2'
'-y+3/4,x+1/4,z+3/4'
'y+3/4,-x+1/4,-z+3/4'
'-x,-y+1/2,z'
'x,y+1/2,-z'
'y+3/4,-x+3/4,z+1/4'
'-y+3/4,x+3/4,-z+1/4'
'x+1/2,-y+1/2,-z+1/2'
'-x+1/2,y+1/2,z+1/2'
'-y+3/4,-x+3/4,-z+1/4'
'y+3/4,x+3/4,z+1/4'
'-x,y+1/2,-z'
'x,-y+1/2,z'
'y+3/4,x+1/4,-z+3/4'
'-y+3/4,-x+1/4,z+3/4'
loop_
_atom_site_label
_atom_site_type_symbol
_atom_site_fract_x
_atom_site_fract_y
_atom_site_fract_z
_atom_site_occupancy
Ta1 Ta 0.000 0.250 0.375 1
Mn1 Mn 0.000 0.250 0.875 1
B1 B 0.000 0.000 0.000 1
```


[5]
Here is a crystal of MnB3Te relaxed with PBEsol from Alexandria via LeMat-Bulk. Energies are from meta-GGA SCAN.

Summary:
Total DFT energy (no corrections) ... -71.39 eV for the cell shown
ΔE_f (raw) ... 6.40 eV/f.u.

```
data_MnB3Te
_chemical_formula_sum 'Mn1 B3 Te1'
_cell_length_a 3.973
_cell_length_b 3.973
_cell_length_c 3.973
_cell_angle_alpha 90.00
_cell_angle_beta 90.00
_cell_angle_gamma 90.00
_space_group_name_H-M_alt 'P m -3 m'
_space_group_IT_number 221
_space_group_name_Hall '-P 4 2 3'
loop_
_atom_site_label
_atom_site_type_symbol
_atom_site_fract_x
_atom_site_fract_y
_atom_site_fract_z
_atom_site_occupancy
Mn1 Mn 0.000 0.000 0.000 1
B1 B 0.000 0.000 0.500 1
Te1 Te 0.500 0.500 0.500 1
```


[6]
Here is a crystal of Ti2MnB relaxed with PBEsol from Alexandria via LeMat-Bulk. Energies are from meta-GGA SCAN.

Summary:
Energy relative to the elements ... 0.171 eV per atom
Total DFT energy (no corrections) ... -228.25 eV for the cell shown

```
data_Ti2MnB
_chemical_formula_sum 'Ti8 Mn4 B4'
_cell_length_a 6.773
_cell_length_b 6.773
_cell_length_c 4.394
_cell_angle_alpha 90.00
_cell_angle_beta 90.00
_cell_angle_gamma 90.00
_space_group_name_H-M_alt 'I -4 2 d'
_space_group_IT_number 122
_space_group_name_Hall 'I -4 2bw'
loop_
_atom_site_label
_atom_site_type_symbol
_atom_site_fract_x
_atom_site_fract_y
_atom_site_fract_z
_atom_site_occupancy
Ti1 Ti 0.196 0.750 0.125 1
Mn1 Mn 0.000 0.000 0.500 1
B1 B 0.000 0.000 0.000 1
```


[7]
Here is a crystal of TmMnB4 relaxed with PBEsol from Alexandria via LeMat-Bulk. Energies are from meta-GGA SCAN.

Summary:
Energy relative to the elements ... -0.746 eV per atom
Total DFT energy (no corrections) ... -417.12 eV for the cell shown

```
data_TmMnB4
_chemical_formula_sum 'Tm4 Mn4 B16'
_cell_length_a 5.834
_cell_length_b 11.280
_cell_length_c 3.319
_cell_angle_alpha 90.00
_cell_angle_beta 90.00
_cell_angle_gamma 90.00
_space_group_name_H-M_alt 'P b a m'
_space_group_IT_number 55
loop_
_space_group_symop_operation_xyz
'x,y,z'
'-x,-y,-z'
'-x,-y,z'
'x,y,-z'
'x+1/2,-y+1/2,-z'
'-x+1/2,y+1/2,z'
'-x+1/2,y+1/2,-z'
'x+1/2,-y+1/2,z'
loop_
_atom_site_label
_atom_site_type_symbol
_atom_site_fract_x
_atom_site_fract_y
_atom_site_fract_z
_atom_site_occupancy
Tm1 Tm 0.126 0.150 0.000 1
Mn1 Mn 0.128 0.416 0.000 1
B1 B 0.025 0.692 0.500 1
B2 B 0.113 0.547 0.500 1
B3 B 0.137 0.968 0.500 1
B4 B 0.218 0.816 0.500 1
```


[8]
Here is a crystal of UMnB4 relaxed with PBEsol from Alexandria via LeMat-Bulk. Energies are from meta-GGA SCAN.

Summary:
Energy relative to the elements ... -0.522 eV per atom
Total DFT energy (no corrections) ... -618.54 eV for the cell shown

```
data_UMnB4
_chemical_formula_sum 'U4 Mn4 B16'
_cell_length_a 5.817
_cell_length_b 11.276
_cell_length_c 3.373
_cell_angle_alpha 90.00
_cell_angle_beta 90.00
_cell_angle_gamma 90.00
_space_group_name_H-M_alt 'P b a m'
_space_group_IT_number 55
loop_
_space_group_symop_operation_xyz
'x,y,z'
'-x,-y,-z'
'-x,-y,z'
'x,y,-z'
'x+1/2,-y+1/2,-z'
'-x+1/2,y+1/2,z'
'-x+1/2,y+1/2,-z'
'x+1/2,-y+1/2,z'
loop_
_atom_site_label
_atom_site_type_symbol
_atom_site_fract_x
_atom_site_fract_y
_atom_site_fract_z
_atom_site_occupancy
U1 U 0.127 0.150 0.000 1
Mn1 Mn 0.135 0.410 0.000 1
B1 B 0.026 0.691 0.500 1
B2 B 0.114 0.546 0.500 1
B3 B 0.136 0.966 0.500 1
B4 B 0.217 0.813 0.500 1
```


[9]
Here is a crystal of YMnB2 relaxed with PBEsol from Alexandria via LeMat-Bulk. Energies are from meta-GGA SCAN.

Summary:
Energy relative to the elements ... 0.384 eV per atom
Total DFT energy (no corrections) ... -237.68 eV for the cell shown

```
data_YMnB2
_chemical_formula_sum 'Y4 Mn4 B8'
_cell_length_a 5.740
_cell_length_b 5.740
_cell_length_c 5.740
_cell_angle_alpha 90.00
_cell_angle_beta 90.00
_cell_angle_gamma 90.00
_space_group_name_H-M_alt 'F m -3 m'
_space_group_IT_number 225
_space_group_name_Hall '-F 4 2 3'
loop_
_atom_site_label
_atom_site_type_symbol
_atom_site_fract_x
_atom_site_fract_y
_atom_site_fract_z
_atom_site_occupancy
Y1 Y 0.000 0.000 0.000 1
Mn1 Mn 0.000 0.000 0.500 1
B1 B 0.250 0.250 0.250 1
```


[10]
Here is a crystal of Y3MnB7 relaxed with PBEsol from Alexandria via LeMat-Bulk. Energies are from meta-GGA SCAN.

Summary:
Energy relative to the elements ... -0.663 eV per atom
Total DFT energy (no corrections) ... -644.35 eV for the cell shown

```
data_Y3MnB7
_chemical_formula_sum 'Y12 Mn4 B28'
_cell_length_a 3.395
_cell_length_b 15.623
_cell_length_c 9.241
_cell_angle_alpha 90.00
_cell_angle_beta 90.00
_cell_angle_gamma 90.00
_space_group_name_H-M_alt 'C m c m'
_space_group_IT_number 63
_space_group_name_Hall '-C 2c 2'
loop_
_atom_site_label
_atom_site_type_symbol
_atom_site_fract_x
_atom_site_fract_y
_atom_site_fract_z
_atom_site_occupancy
Y1 Y 0.000 0.104 0.060 1
Y2 Y 0.000 0.241 0.750 1
Mn1 Mn 0.000 0.053 0.750 1
B1 B 0.000 0.273 0.032 1
B2 B 0.000 0.370 0.153 1
B3 B 0.000 0.460 0.750 1
B4 B 0.000 0.479 0.098 1
```


[11]
Here is a crystal of Zr2MnB2 relaxed with PBEsol from Alexandria via LeMat-Bulk. Energies are from meta-GGA SCAN.

Summary:
Energy relative to the elements ... -0.613 eV per atom
Total DFT energy (no corrections) ... -195.15 eV for the cell shown

```
data_Zr2MnB2
_chemical_formula_sum 'Zr4 Mn2 B4'
_cell_length_a 6.076
_cell_length_b 6.076
_cell_length_c 3.372
_cell_angle_alpha 90.00
_cell_angle_beta 90.00
_cell_angle_gamma 90.00
_space_group_name_H-M_alt 'P 4/m b m'
_space_group_IT_number 127
_space_group_name_Hall '-P 4 2ab'
loop_
_atom_site_label
_atom_site_type_symbol
_atom_site_fract_x
_atom_site_fract_y
_atom_site_fract_z
_atom_site_occupancy
Zr1 Zr 0.185 0.315 0.000 1
Mn1 Mn 0.000 0.000 0.500 1
B1 B 0.105 0.605 0.500 1
```


Asked for calculated volume across the records above, the calculation gives 59.9; 54.8; 88.3; 175.9; 62.7; 201.6; 218.4; 221.2; 189.1; 490.1; 124.5 Å³ per cell in order.
Asked for calculated density across the records above, the calculation gives 5.794; 3.496; 4.574; 9.724; 5.693; 5.322; 8.124; 10.094; 5.811; 5.385; 6.909 Mg/m³ in order.